Entry 1:
Here is a relaxed structure of Ga3SO from Alexandria via LeMat-Bulk. Energies are from PBE.

Cell: 4.536 4.536 4.536 Å, 90.00 90.00 90.00°
Sites, in units of the cell vectors:
1 Ga 0.000 0.000 0.500
2 Ga 0.000 0.500 0.000
3 Ga 0.500 0.000 0.000
4 S 0.500 0.500 0.500
5 O 0.000 0.000 0.000

Calculated values
formation energy from raw total energies	-0.155	eV per atom
space-group type	Pm-3m, No. 221
offset from the most stable computed form	0.000	eV per formula unit

---

Entry 2:
Here is a relaxed structure of TbCdTe2 from Alexandria via LeMat-Bulk. Energies are from PBE.

Cell: 4.421 4.421 27.683 Å, 90.00 90.00 120.00°
Sites, in units of the cell vectors:
1 Tb 0.000 0.000 0.000
2 Tb 0.333 0.667 0.667
3 Tb 0.667 0.333 0.333
4 Cd 0.000 0.000 0.500
5 Cd 0.333 0.667 0.167
6 Cd 0.667 0.333 0.833
7 Te 0.000 0.000 0.396
8 Te 0.000 0.000 0.604
9 Te 0.333 0.667 0.063
10 Te 0.333 0.667 0.271
11 Te 0.667 0.333 0.729
12 Te 0.667 0.333 0.937

Calculated values
formation energy from raw total energies	-0.746	eV per atom
space-group type	R-3m, No. 166
offset from the most stable computed form	0.273	eV per formula unit

---

Entry 3:
Here is a relaxed structure of NdY5Ir6 from Alexandria via LeMat-Bulk. Energies are from PBE.

Cell: 4.966 6.685 7.842 Å, 90.00 108.21 90.00°
Sites, in units of the cell vectors:
1 Nd 0.000 0.000 0.000
2 Y 0.000 0.500 0.000
3 Y 0.332 0.000 0.665
4 Y 0.333 0.500 0.666
5 Y 0.667 0.500 0.334
6 Y 0.668 0.000 0.335
7 Ir 0.169 0.252 0.337
8 Ir 0.169 0.748 0.337
9 Ir 0.500 0.255 0.000
10 Ir 0.500 0.745 0.000
11 Ir 0.831 0.252 0.663
12 Ir 0.831 0.748 0.663

Calculated values
space-group type	P2/m, No. 10
ΔE_f	-8.79	eV/f.u.

---

Record-wise total energy values, in eV/atom: -3.7882, -3.7027, -8.2539
Record-wise DOS(E_F) values, in states/eV per cell: 3.76, 7.98, 4.49
Record-wise volume values, in Å³/cell: 93.3, 468.6, 247.3